Entry 1:
ZrIn2SbPb: optimized geometry, PBE-GGA.

Cell lengths 5.6092, 5.4584, 5.6092 Å; angles 90.00, 90.00, 90.00 degrees
Closest atoms and distances in Å follow each position.
Atoms (fractional coordinates):
Pb (0.5000, 0.5000, 0.5000)  8 In 3.91, 4 Zr 3.97
Zr (0.0000, 0.5000, 0.0000)  2 Sb 2.73
In (0.0000, 0.0000, 0.5000)  2 Sb 2.80
In (0.5000, 0.0000, 0.0000)  2 Sb 2.80
Sb (0.0000, 0.0000, 0.0000)  2 Zr 2.73, 4 In 2.80

Summary:
The calculation puts the total energy at -3.768 eV per atom. The space-group type is P4/mmm, No. 123.

---

Entry 2:
TaAg3Ir: optimized geometry, PBE-GGA.

Cell lengths 4.9702, 4.9702, 4.9702 Å; angles 90.00, 90.00, 90.00 degrees
Closest atoms and distances in Å follow each position.
Atoms (fractional coordinates):
Ir (0.5000, 0.5000, 0.5000)  12 Ag 3.51
Ag (0.0000, 0.0000, 0.5000)  2 Ta 2.49
Ag (0.5000, 0.0000, 0.0000)  2 Ta 2.49
Ag (0.0000, 0.5000, 0.0000)  2 Ta 2.49
Ta (0.0000, 0.0000, 0.0000)  6 Ag 2.49

Summary:
The calculation puts the total energy at -3.595 eV per atom. The formation energy is 2.259 eV/atom. The space-group type is Pm-3m, No. 221. For the polymorph energy (0 for the lowest one), the calculation gives 33.89 kJ/mol of atoms.

---

Entry 3:
P2CI: optimized geometry, PBE-GGA.

Cell lengths 4.5655, 4.5655, 4.5655 Å; angles 60.00, 60.00, 60.00 degrees
Closest atoms and distances in Å follow each position.
Atoms (fractional coordinates):
C (0.0000, 0.0000, 0.0000)  8 P 2.80
P (0.2500, 0.2500, 0.2500)  4 I 2.80, 4 C 2.80
P (0.7500, 0.7500, 0.7500)  4 I 2.80, 4 C 2.80
I (0.5000, 0.5000, 0.5000)  8 P 2.80

Summary:
The calculation puts the total energy at -3.173 eV per atom. The space-group type is Fm-3m, No. 225. For the polymorph energy (0 for the lowest one), the calculation gives 116.23 kJ/mol of atoms.

---

Entry 4:
Tb2DyEr2: optimized geometry, PBE-GGA.

Cell lengths 9.2095, 9.2095, 3.7088 Å; angles 90.00, 90.00, 90.00 degrees
Closest atoms and distances in Å follow each position.
Atoms (fractional coordinates):
Er (0.3298, 0.8298, 0.5000)  6 Tb 3.22-3.34
Er (0.6702, 0.1702, 0.5000)  6 Tb 3.22-3.34
Er (0.1702, 0.3298, 0.5000)  6 Tb 3.22-3.34
Er (0.8298, 0.6702, 0.5000)  6 Tb 3.22-3.34
Tb (0.6282, 0.8718, 0.0000)  6 Er 3.22-3.34, 1 Tb 3.34
Tb (0.3718, 0.1282, 0.0000)  6 Er 3.22-3.34, 1 Tb 3.34
Tb (0.1282, 0.6282, 0.0000)  6 Er 3.22-3.34, 1 Tb 3.34
Tb (0.8718, 0.3718, 0.0000)  6 Er 3.22-3.34, 1 Tb 3.34
Dy (0.0000, 0.0000, 0.0000)  4 Tb 3.62, 2 Dy 3.71, 8 Er 3.89
Dy (0.5000, 0.5000, 0.0000)  4 Tb 3.62, 2 Dy 3.71, 8 Er 3.89

Summary:
The calculation puts the total energy at -4.507 eV per atom. The formation energy is 0.091 eV/atom. The space-group type is P4/mbm, No. 127. For the polymorph energy (0 for the lowest one), the calculation gives 0.00 kJ/mol of atoms.

---

Entry 5:
RhI3O: optimized geometry, PBE-GGA.

Cell lengths 5.3435, 5.3435, 5.3435 Å; angles 90.00, 90.00, 90.00 degrees
Closest atoms and distances in Å follow each position.
Atoms (fractional coordinates):
I (0.0000, 0.5000, 0.0000)  2 Rh 2.67
I (0.0000, 0.0000, 0.5000)  2 Rh 2.67
I (0.5000, 0.0000, 0.0000)  2 Rh 2.67
Rh (0.0000, 0.0000, 0.0000)  6 I 2.67
O (0.5000, 0.5000, 0.5000)  12 I 3.78

Summary:
The calculation puts the total energy at -2.547 eV per atom. The space-group type is Pm-3m, No. 221. For the polymorph energy (0 for the lowest one), the calculation gives 0.00 kJ/mol of atoms.

---

Entry 6:
CrBi2MoP: optimized geometry, PBE-GGA.

Cell lengths 5.4564, 4.5180, 5.4564 Å; angles 90.00, 90.00, 90.00 degrees
Closest atoms and distances in Å follow each position.
Atoms (fractional coordinates):
Mo (0.0000, 0.0000, 0.0000)  2 P 2.26
Bi (0.0000, 0.0000, 0.5000)  2 Mo 2.73
Bi (0.5000, 0.0000, 0.0000)  2 Mo 2.73
Cr (0.5000, 0.5000, 0.5000)  8 Bi 3.54, 4 P 3.86
P (0.0000, 0.5000, 0.0000)  2 Mo 2.26

Summary:
The calculation puts the total energy at -5.416 eV per atom. The formation energy is 1.309 eV/atom. The space-group type is P4/mmm, No. 123.

---

Entry 7:
NdEuGeRh: optimized geometry, PBE-GGA.

Cell lengths 5.1159, 5.1159, 5.1159 Å; angles 60.00, 60.00, 60.00 degrees
Closest atoms and distances in Å follow each position.
Atoms (fractional coordinates):
Rh (0.0000, 0.0000, 0.0000)  4 Nd 3.13, 4 Eu 3.13
Nd (0.2500, 0.2500, 0.2500)  4 Ge 3.13, 4 Rh 3.13
Ge (0.5000, 0.5000, 0.5000)  4 Eu 3.13, 4 Nd 3.13
Eu (0.7500, 0.7500, 0.7500)  4 Rh 3.13, 4 Ge 3.13

Summary:
The calculation puts the total energy at -7.257 eV per atom. The formation energy is -0.504 eV/atom. The space-group type is F-43m, No. 216.

---

Entry 8:
YErScCd: optimized geometry, PBE-GGA.

Cell lengths 5.3279, 5.3279, 5.3279 Å; angles 60.00, 60.00, 60.00 degrees
Closest atoms and distances in Å follow each position.
Atoms (fractional coordinates):
Cd (0.0000, 0.0000, 0.0000)  4 Y 3.26, 4 Er 3.26
Er (0.2500, 0.2500, 0.2500)  4 Cd 3.26, 4 Sc 3.26
Y (0.7500, 0.7500, 0.7500)  4 Cd 3.26, 4 Sc 3.26
Sc (0.5000, 0.5000, 0.5000)  4 Er 3.26, 4 Y 3.26

Summary:
The calculation puts the total energy at -4.614 eV per atom. The formation energy is -0.045 eV/atom. The space-group type is F-43m, No. 216. For the polymorph energy (0 for the lowest one), the calculation gives 8.59 kJ/mol of atoms.

---

Entry 9:
Rb2PBr2: optimized geometry, PBE-GGA.

Cell lengths 9.5783, 9.5783, 4.3649 Å; angles 90.00, 90.00, 90.00 degrees
Closest atoms and distances in Å follow each position.
Atoms (fractional coordinates):
Rb (0.8541, 0.6459, 0.0000)  6 Br 3.49-3.60, 2 P 3.67
Rb (0.1459, 0.3541, 0.0000)  6 Br 3.49-3.60, 2 P 3.67
Rb (0.3541, 0.8541, 0.0000)  6 Br 3.49-3.60, 2 P 3.67
Rb (0.6459, 0.1459, 0.0000)  6 Br 3.49-3.60, 2 P 3.67
P (0.5000, 0.5000, 0.0000)  4 Rb 3.67
P (0.0000, 0.0000, 0.0000)  4 Rb 3.67
Br (0.8465, 0.3465, 0.5000)  6 Rb 3.49-3.60
Br (0.1535, 0.6535, 0.5000)  6 Rb 3.49-3.60
Br (0.3465, 0.1535, 0.5000)  6 Rb 3.49-3.60
Br (0.6535, 0.8465, 0.5000)  6 Rb 3.49-3.60

Summary:
The calculation puts the total energy at -2.789 eV per atom. The space-group type is P4/mbm, No. 127. For the polymorph energy (0 for the lowest one), the calculation gives 0.00 kJ/mol of atoms.